1.
CuP2S2 | GGA-PBEsol | relaxed

The structure belongs to space group P4/mmm (No. 123); the cell edges are 4.381, 4.381 and 4.479 Å and the angles 90.00°, 90.00° and 90.00°. The distinct sites, in fractional coordinates, are Cu at (0.000, 0.000, 0.000), P at (0.500, 0.500, 0.000), P at (0.500, 0.500, 0.500) and S at (0.000, 0.500, 0.500).

The formation energy (no corrections) is 0.7889 eV/atom. The value obtained for the spin magnetization is 0.00 Bohr magnetons per cell. The value obtained for the density of states at the Fermi level is 0.82 states/eV/atom. The calculation puts the raw total energy at -4.1481 eV per atom.

***

2.
KAu2Cl | GGA-PBEsol | relaxed

The structure belongs to space group Cmmm (No. 65); the cell edges are 5.448, 12.216 and 2.778 Å and the angles 90.00°, 90.00° and 90.00°. The distinct sites, in fractional coordinates, are K at (0.000, 0.000, 0.000), Au at (0.250, 0.250, 0.500) and Cl at (0.000, 0.500, 0.000).

The formation energy (no corrections) is -0.1554 eV/atom. The value obtained for the spin magnetization is 0.00 Bohr magnetons per cell. The value obtained for the density of states at the Fermi level is 0.34 states/eV/atom. Its distance to the lowest polymorph of the same formula is 0.345 eV/atom. The calculation puts the raw total energy at -2.9027 eV per atom.

***

What is the formula in the first record?
CuP2S2